Entry 1:
Density functional theory data (meta-GGA SCAN) for ZnOsRu2 at its PBEsol-relaxed geometry.

Results
The density comes out at 14.04 g cm⁻³. As for the crystal system: orthorhombic. The value obtained for the energy of formation is 0.25 eV per atom.

a b c (Å): 2.6821 4.6446 4.6446
angles (deg): 110.62 90.00 90.00
Site moments in Bohr magnetons follow the coordinates.
Fractional coordinates of all 4 atoms:
Os  0.5000  0.5000  0.5000  0.11
Ru  0.0000  0.5000  0.0000  0.85
Ru  0.0000  0.0000  0.5000  0.85
Zn  0.5000  0.0000  0.0000  -0.01

=====

Entry 2:
Density functional theory data (meta-GGA SCAN) for Sc3As2 at its PBEsol-relaxed geometry.

Results
As for the polymorph energy (0 for the lowest one): 0 meV per atom. The density comes out at 4.75 g cm⁻³. As for the crystal system: orthorhombic. The value obtained for the energy of formation is -1.28 eV per atom.

a b c (Å): 3.7906 10.1700 10.3309
angles (deg): 90.00 90.00 90.00
Fractional coordinates of all 20 atoms:
As  0.7500  0.4970  0.6881
As  0.2500  0.9970  0.8119
As  0.2500  0.5030  0.3119
As  0.7500  0.0030  0.1881
As  0.7500  0.8201  0.5137
As  0.2500  0.3201  0.9863
As  0.2500  0.1799  0.4863
As  0.7500  0.6799  0.0137
Sc  0.7500  0.1313  0.9531
Sc  0.2500  0.6313  0.5469
Sc  0.2500  0.8687  0.0469
Sc  0.7500  0.3687  0.4531
Sc  0.7500  0.0640  0.6267
Sc  0.2500  0.5640  0.8733
Sc  0.2500  0.9360  0.3733
Sc  0.7500  0.4360  0.1267
Sc  0.7500  0.7977  0.7772
Sc  0.2500  0.2977  0.7228
Sc  0.2500  0.2023  0.2228
Sc  0.7500  0.7023  0.2772

=====

Entry 3:
Density functional theory data (meta-GGA SCAN) for TeWBr2 at its PBEsol-relaxed geometry.

Results
The calculation puts the formation energy without anion corrections at 0.32 eV/atom. The density comes out at 8.58 g cm⁻³. As for the crystal system: tetragonal.

a b c (Å): 3.1685 3.1685 9.0812
angles (deg): 90.00 90.00 90.00
Fractional coordinates of all 4 atoms:
Te  0.0000  0.0000  0.5663
Br  0.0000  0.0000  0.9319
Br  0.5000  0.5000  0.2489
W  0.5000  0.5000  0.7529

=====

Entry 4:
Density functional theory data (meta-GGA SCAN) for SbPO2F at its PBEsol-relaxed geometry.

Results
The calculation puts the formation energy without anion corrections at -0.52 eV/atom. The density comes out at 5.43 g cm⁻³. As for the crystal system: tetragonal.

a b c (Å): 3.8677 3.8677 4.1655
angles (deg): 90.00 90.00 90.00
Fractional coordinates of all 5 atoms:
Sb  0.5000  0.5000  0.5000
F  0.0000  0.0000  0.5000
O  0.0000  0.5000  0.0000
O  0.5000  0.0000  0.0000
P  0.0000  0.0000  0.0000